# 1
# BaRhS2Cl, optimized geometry, DFT GGA-PBE
data_BaRhS2Cl
_cell_length_a 5.961
_cell_length_b 5.961
_cell_length_c 5.792
_cell_angle_alpha 90.00
_cell_angle_beta 90.00
_cell_angle_gamma 90.00
_symmetry_space_group_name_H-M 'P 4/m m m'
_symmetry_Int_Tables_number 123
_symmetry_space_group_name_Hall '-P 4 2'
loop_
_atom_site_label
_atom_site_fract_x
_atom_site_fract_y
_atom_site_fract_z
Ba1 0.000 0.000 0.000
Rh1 0.500 0.500 0.500
S1 0.000 0.500 0.000
Cl1 0.000 0.000 0.500
# Final energy in eV for the cell shown: -16.52
# Excess energy over the best structure of this formula in the dataset in meV/atom: 1563
# Formation energy from raw total energies in eV/atom: 0.57

# 2
# BaRhSCl2, optimized geometry, DFT GGA-PBE
data_BaRhSCl2
_cell_length_a 4.922
_cell_length_b 4.922
_cell_length_c 4.820
_cell_angle_alpha 90.00
_cell_angle_beta 90.00
_cell_angle_gamma 90.00
_symmetry_space_group_name_H-M 'P 4/m m m'
_symmetry_Int_Tables_number 123
_symmetry_space_group_name_Hall '-P 4 2'
loop_
_atom_site_label
_atom_site_fract_x
_atom_site_fract_y
_atom_site_fract_z
Ba1 0.000 0.000 0.000
Rh1 0.500 0.500 0.500
S1 0.500 0.500 0.000
Cl1 0.000 0.500 0.500
# Final energy in eV for the cell shown: -23.05
# Excess energy over the best structure of this formula in the dataset in meV/atom: 0
# Formation energy from raw total energies in eV/atom: -1.19